Record 1
The following is a DFT calculation (GGA-PBE) of a relaxed LiDy2Ga3Cu4 crystal.

a b c (Å): 4.1128 4.1128 10.2207
angles (deg): 90.00 90.00 90.00
Sites, in units of the cell vectors:
1 Li 0.0000 0.0000 0.0000
2 Dy 0.0000 0.5000 0.7367
3 Dy 0.5000 0.0000 0.2633
4 Ga 0.0000 0.5000 0.3690
5 Ga 0.5000 0.0000 0.6310
6 Ga 0.5000 0.5000 0.0000
7 Cu 0.0000 0.0000 0.5000
8 Cu 0.0000 0.5000 0.1358
9 Cu 0.5000 0.0000 0.8642
10 Cu 0.5000 0.5000 0.5000

crystal system: tetragonal
volume: 173 Å³/cell
space-group type: P-4m2, No. 115
energy of formation from the pure elements: -0.3562 eV per atom

Record 2
The following is a DFT calculation (GGA-PBE) of a relaxed TmPu5 crystal.

a b c (Å): 6.0354 6.0354 5.5509
angles (deg): 90.00 90.00 124.85
Sites, in units of the cell vectors:
1 Tm 0.0000 0.0000 0.0000
2 Pu 0.1726 0.8274 0.5000
3 Pu 0.3303 0.6697 0.0000
4 Pu 0.5000 0.5000 0.5000
5 Pu 0.6697 0.3303 0.0000
6 Pu 0.8274 0.1726 0.5000

crystal system: orthorhombic
volume: 166 Å³/cell
space-group type: Cmmm, No. 65
energy of formation from the pure elements: 0.3041 eV per atom

Record 3
The following is a DFT calculation (GGA-PBE) of a relaxed Na2Ho2Hg7 crystal.

a b c (Å): 7.3444 7.3444 5.9003
angles (deg): 90.00 90.00 96.75
Sites, in units of the cell vectors:
1 Na 0.2369 0.7631 0.0000
2 Na 0.7631 0.2369 0.0000
3 Ho 0.3106 0.3106 0.5000
4 Ho 0.6894 0.6894 0.5000
5 Hg 0.0000 0.0000 0.2549
6 Hg 0.0000 0.0000 0.7451
7 Hg 0.0000 0.5000 0.2539
8 Hg 0.0000 0.5000 0.7461
9 Hg 0.5000 0.0000 0.2539
10 Hg 0.5000 0.0000 0.7461
11 Hg 0.5000 0.5000 0.0000

crystal system: orthorhombic
volume: 316 Å³/cell
space-group type: Cmmm, No. 65
energy of formation from the pure elements: -0.0354 eV per atom

Record 4
The following is a DFT calculation (GGA-PBE) of a relaxed ZnReSN2 crystal.

a b c (Å): 3.8059 3.8059 4.8385
angles (deg): 90.00 90.00 90.00
Sites, in units of the cell vectors:
1 Zn 0.0000 0.0000 0.0000
2 Re 0.5000 0.5000 0.5000
3 S 0.0000 0.0000 0.5000
4 N 0.0000 0.5000 0.0000
5 N 0.5000 0.0000 0.0000

crystal system: tetragonal
volume: 70 Å³/cell
space-group type: P4/mmm, No. 123
formation energy (no corrections): 1.987 eV/atom
polymorph energy (0 for the lowest one): 1597 meV/atom

Record 5
The following is a DFT calculation (GGA-PBE) of a relaxed Sm2Ho12Th5 crystal.

a b c (Å): 9.9490 9.9490 10.1954
angles (deg): 111.47 111.47 41.43
Sites, in units of the cell vectors:
1 Sm 0.2142 0.7858 0.0000
2 Sm 0.7858 0.2142 0.0000
3 Ho 0.0024 0.0024 0.3277
4 Ho 0.0845 0.5831 0.4838
5 Ho 0.0962 0.5886 0.1368
6 Ho 0.4114 0.9038 0.8632
7 Ho 0.4169 0.9155 0.5162
8 Ho 0.4713 0.4713 0.7625
9 Ho 0.5287 0.5287 0.2375
10 Ho 0.5831 0.0845 0.4838
11 Ho 0.5886 0.0962 0.1368
12 Ho 0.9038 0.4114 0.8632
13 Ho 0.9155 0.4169 0.5162
14 Ho 0.9976 0.9976 0.6723
15 Th 0.1803 0.1803 0.2112
16 Th 0.3124 0.3124 0.8189
17 Th 0.5000 0.5000 0.5000
18 Th 0.6876 0.6876 0.1811
19 Th 0.8197 0.8197 0.7888

crystal system: monoclinic
volume: 615 Å³/cell
space-group type: C2/m, No. 12
energy of formation from the pure elements: 0.2157 eV per atom
polymorph energy (0 for the lowest one): 54 meV/atom

Record 6
The following is a DFT calculation (GGA-PBE) of a relaxed YBe2Ag crystal.

a b c (Å): 8.7852 8.7852 8.7852
angles (deg): 151.81 151.81 40.30
Sites, in units of the cell vectors:
1 Y 0.3750 0.6250 0.7500
2 Y 0.6250 0.3750 0.2500
3 Be 0.0000 0.0000 0.0000
4 Be 0.0000 0.0000 0.5000
5 Be 0.0000 0.5000 0.0000
6 Be 0.5000 0.0000 0.5000
7 Ag 0.1250 0.8750 0.2500
8 Ag 0.8750 0.1250 0.7500

crystal system: tetragonal
volume: 151 Å³/cell
space-group type: I4_1/amd, No. 141
energy of formation from the pure elements: 0.2066 eV per atom
polymorph energy (0 for the lowest one): 218 meV/atom

Number 1: D(E_F) 4.8 states/eV per cell. Number 2: D(E_F) 32.9 states/eV per cell. Number 3: D(E_F) 5.8 states/eV per cell. Number 4: D(E_F) 2.0 states/eV per cell. Number 5: D(E_F) 30.0 states/eV per cell. Number 6: D(E_F) 7.1 states/eV per cell.